# 1
Computed, not measured: a geometry-optimized TaCo2Se structure at the PBE level of DFT.

Structure (POSCAR):
```
TaCo2Se
1.0
-2.085 0.200 -4.102
-1.971 -2.722 -3.150
-3.973 0.341 1.524
Co Se Ta
2 1 1
Cartesian
-3.899 0.330 1.480
-5.981 -1.593 -4.171
-4.236 -1.062 -2.751
-1.900 -0.604 -1.627
```

Output
symmetry = Cm
Fermi-level density of states = 4.4 states/eV/cell
raw formation energy = 32 kJ/mol of formula units



# 2
Computed, not measured: a geometry-optimized Pr2UIn3Se6 structure at the PBE level of DFT.

Structure (POSCAR):
```
Pr2UIn3Se6
1.0
7.390 0.002 0.001
-3.691 6.402 0.001
-1.232 -2.133 7.742
Pr U In Se
2 1 3 6
Cartesian
0.005 4.267 0.001
3.694 2.137 0.001
0.000 0.000 0.000
-2.442 4.258 3.872
4.909 0.013 3.872
1.233 2.135 3.872
3.657 2.204 6.087
2.506 4.339 1.680
-1.191 2.066 1.657
0.082 4.269 6.087
-0.040 -0.069 6.064
2.385 0.001 1.657
```

Output
symmetry = C2/m
Fermi-level density of states = 10.7 states/eV/cell
raw formation energy = -1281 kJ/mol of formula units



# 3
Computed, not measured: a geometry-optimized Na2LaInF structure at the PBE level of DFT.

Structure (POSCAR):
```
Na2LaInF
1.0
4.854 0.000 0.000
0.000 4.854 0.000
0.000 0.000 5.190
Na F In La
2 1 1 1
Cartesian
0.000 2.427 0.000
2.427 0.000 0.000
0.000 0.000 0.000
2.427 2.427 2.595
0.000 0.000 2.595
```

Output
symmetry = P4/mmm
Fermi-level density of states = 5.3 states/eV/cell
raw formation energy = -549 kJ/mol of formula units



# 4
Computed, not measured: a geometry-optimized PrThGe2 structure at the PBE level of DFT.

Structure (POSCAR):
```
PrThGe2
1.0
3.247 0.000 0.000
0.000 5.553 0.000
0.000 0.000 5.553
Pr Ge Th
1 2 1
Cartesian
1.624 2.777 2.777
0.000 0.000 2.777
0.000 2.777 0.000
1.624 0.000 0.000
```

Output
energy of formation from the pure elements = -614 meV/atom
symmetry = P4/mmm
Fermi-level density of states = 1.5 states/eV/cell



# 5
Computed, not measured: a geometry-optimized LaHoEr2As4 structure at the PBE level of DFT.

Structure (POSCAR):
```
LaHoEr2As4
1.0
-0.677 -0.249 4.103
6.735 -2.378 0.966
4.397 5.613 1.066
La Ho Er As
1 1 2 4
Cartesian
7.426 4.299 3.601
5.566 1.618 1.016
4.397 5.613 1.066
1.860 2.682 2.585
8.377 2.342 1.524
2.078 0.644 4.611
5.872 -0.494 3.053
4.583 3.480 3.082
```

Output
energy of formation from the pure elements = -1517 meV/atom
symmetry = P2/m
Fermi-level density of states = 0.9 states/eV/cell



# 6
Computed, not measured: a geometry-optimized TbErNp structure at the PBE level of DFT.

Structure (POSCAR):
```
TbErNp
1.0
3.535 0.000 0.000
0.000 5.805 -0.132
-1.767 -1.425 8.258
Np Er Tb
2 2 2
Cartesian
1.767 0.072 4.304
0.000 4.309 3.822
1.767 4.413 0.998
0.000 -0.033 7.128
1.767 2.863 6.157
0.000 1.518 1.968
```

Output
energy of formation from the pure elements = 229 meV/atom
symmetry = C2/m
Fermi-level density of states = 12.0 states/eV/cell